Entry 1:
6
Lattice="3.822 0.000 0.000 0.000 3.815 0.000 0.000 0.000 3.815" Properties=species:S:1:pos:R:3 comment="CoC | Alexandria | SCAN | PBEsol geometry" spacegroup="No. 123" pbc="T T T"
C 0.000 1.907 1.907
C 1.911 1.907 0.000
C 1.911 0.000 1.907
Co 1.911 1.907 1.907
Co 0.000 0.000 1.907
Co 0.000 1.907 0.000

***

Entry 2:
8
Lattice="-2.686 -2.078 2.176 3.948 -0.497 0.661 -0.104 3.705 3.410" Properties=species:S:1:pos:R:3 comment="CoC | Alexandria | SCAN | PBEsol geometry" spacegroup="No. 194" pbc="T T T"
C -0.567 1.714 4.676
C 1.697 0.388 2.466
C 1.724 -0.584 1.571
C -0.540 0.741 3.780
Co -0.078 2.778 2.557
Co -0.026 0.926 0.852
Co -0.501 -0.625 2.523
Co 1.658 1.754 3.723

***

Entry 3:
6
Lattice="-1.272 -2.281 -0.509 1.712 -0.225 3.682 -4.024 2.014 1.033" Properties=species:S:1:pos:R:3 comment="CoC2 | Alexandria | SCAN | PBEsol geometry" spacegroup="No. 166" polymorph_energy_kj_per_mol_atoms=0.00 pbc="T T T"
C -1.647 -1.311 3.034
C -0.563 -1.328 0.402
C -3.021 0.836 3.804
C -1.937 0.819 1.172
Co -0.468 -0.179 1.971
Co -3.117 -0.313 2.235

***

Entry 4:
4
Lattice="2.470 0.000 0.000 0.000 3.891 0.000 -1.235 -1.945 3.673" Properties=species:S:1:pos:R:3 comment="Co3C | Alexandria | SCAN | PBEsol geometry" spacegroup="No. 71" pbc="T T T"
C 0.000 1.945 0.000
Co 1.235 1.945 1.441
Co 0.000 0.000 2.232
Co 1.235 0.000 0.000

***

Entry 5:
8
Lattice="2.965 0.000 0.000 0.000 4.857 0.057 0.000 -1.568 4.598" Properties=species:S:1:pos:R:3 comment="Co5C3 | Alexandria | SCAN | PBEsol geometry" spacegroup="No. 65" polymorph_energy_kj_per_mol_atoms=0.00 pbc="T T T"
C 0.000 1.645 2.327
C 1.482 3.820 0.790
C 1.482 -0.531 3.865
Co 0.000 0.000 0.000
Co 0.000 -0.784 2.299
Co 0.000 2.429 0.029
Co 1.482 0.992 1.404
Co 1.482 2.297 3.251

***

Entry 6:
10
Lattice="-1.004 1.788 -2.835 -1.763 -3.002 -3.428 -5.119 1.385 0.526" Properties=species:S:1:pos:R:3 comment="Co2C3 | Alexandria | SCAN | PBEsol geometry" spacegroup="No. 43" pbc="T T T"
C -3.501 -1.554 -4.896
C -4.773 2.419 -1.940
C -2.784 -0.036 -3.113
C -4.988 0.007 -2.306
C -0.929 1.655 -2.624
C -4.118 0.399 -3.366
Co -0.707 -0.449 -1.515
Co -6.863 0.060 -3.333
Co -4.864 0.080 -5.108
Co -3.208 0.425 -1.158

***

Entry 7:
6
Lattice="-2.024 0.113 -1.275 -0.232 -4.944 -0.070 -2.166 2.527 3.664" Properties=species:S:1:pos:R:3 comment="CoC | Alexandria | SCAN | PBEsol geometry" spacegroup="No. 189" pbc="T T T"
C -0.790 0.922 1.336
C -0.085 -1.803 -0.026
C -1.524 -1.535 2.283
Co 0.000 0.000 0.000
Co -2.533 0.093 1.782
Co -1.889 -2.397 0.537

***

Entry 8:
6
Lattice="-0.668 1.190 -2.073 -3.632 -1.415 0.358 -1.219 4.214 4.298" Properties=species:S:1:pos:R:3 comment="Co5C | Alexandria | SCAN | PBEsol geometry" spacegroup="No. 65" pbc="T T T"
C -0.334 0.595 -1.036
Co -1.507 4.229 1.428
Co -0.379 1.176 0.797
Co -1.816 -0.708 0.179
Co -2.835 2.450 2.320
Co -2.683 1.540 0.263

***

Entry 9:
9
Lattice="-2.316 -1.538 -1.758 3.599 -1.825 -3.146 -1.370 -2.672 4.143" Properties=species:S:1:pos:R:3 comment="Co2C | Alexandria | SCAN | PBEsol geometry" spacegroup="No. 189" polymorph_energy_kj_per_mol_atoms=0.00 pbc="T T T"
C 1.943 -2.107 -0.716
C 0.286 -2.390 1.713
C -1.158 -0.769 -0.879
Co 1.615 -3.258 0.722
Co -0.378 -0.736 1.142
Co 0.992 -0.503 -0.867
Co -0.300 -2.499 -0.495
Co -2.001 -2.413 1.670
Co 1.057 -1.892 -2.815

***

Entry 10:
6
Lattice="2.828 0.000 0.000 0.000 3.834 0.000 -1.414 0.000 5.066" Properties=species:S:1:pos:R:3 comment="Co2C | Alexandria | SCAN | PBEsol geometry" spacegroup="No. 63" polymorph_energy_kj_per_mol_atoms=2.12 pbc="T T T"
C 1.414 2.876 3.369
C 0.000 0.959 1.697
Co 0.000 2.876 2.057
Co 0.000 2.876 4.500
Co 1.414 0.959 0.567
Co 1.414 0.959 3.009

***

Entry 11:
8
Lattice="2.431 0.000 0.000 0.000 2.431 0.000 0.000 0.000 10.851" Properties=species:S:1:pos:R:3 comment="Co5C3 | Alexandria | SCAN | PBEsol geometry" spacegroup="No. 123" polymorph_energy_kj_per_mol_atoms=4.36 pbc="T T T"
C 0.000 0.000 5.426
C 1.215 1.215 1.401
C 1.215 1.215 9.450
Co 0.000 0.000 0.000
Co 0.000 0.000 2.331
Co 0.000 0.000 8.520
Co 1.215 1.215 4.299
Co 1.215 1.215 6.553

***

Entry 12:
6
Lattice="-0.924 1.150 1.909 -0.213 -2.103 1.164 8.607 1.480 1.748" Properties=species:S:1:pos:R:3 comment="Co2C | Alexandria | SCAN | PBEsol geometry" spacegroup="No. 141" polymorph_energy_kj_per_mol_atoms=44.19 pbc="T T T"
C 3.913 -0.550 2.224
C 0.000 0.000 0.000
Co 4.592 1.206 3.020
Co 7.004 0.874 2.862
Co 2.523 0.948 2.174
Co 0.466 -0.347 1.959

***

Entry 13:
9
Lattice="-3.731 0.770 -2.271 1.652 -2.417 -3.533 -2.429 -2.098 3.279" Properties=species:S:1:pos:R:3 comment="CoC2 | Alexandria | SCAN | PBEsol geometry" spacegroup="No. 162" polymorph_energy_kj_per_mol_atoms=91.86 pbc="T T T"
C 0.150 -1.461 -3.036
C -1.230 -1.200 -0.681
C -2.662 -1.242 1.658
C -3.498 -0.087 -0.649
C -3.277 -2.545 -1.844
C -2.228 -0.186 -2.768
Co 0.000 0.000 0.000
Co -1.574 -1.926 -2.398
Co -2.934 -1.820 -0.127

***

| no. | energy relative to the elements (eV/atom) | density of states at the Fermi level (states/eV per atom) |
| --- | --- | --- |
| 1 | 1.10 | 0.349 |
| 2 | 1.31 | 0.833 |
| 3 | 0.85 | 0.577 |
| 4 | 0.48 | 0.706 |
| 5 | 0.82 | 0.827 |
| 6 | 0.99 | 0.330 |
| 7 | 1.02 | 0.612 |
| 8 | 0.53 | 0.979 |
| 9 | 0.43 | 0.206 |
| 10 | 0.45 | 0.745 |
| 11 | 0.86 | 0.539 |
| 12 | 0.89 | 0.973 |
| 13 | 1.80 | 0.593 |